# SrSb2

A relaxed structure of SrSb2 (PBE-GGA, Alexandria).

POSCAR file:
```
SrSb2
1.0
-1.7135 2.5638 -3.0003
-10.6819 -0.3105 5.8353
2.0219 6.0602 4.0237
Sb Sr
8 4
direct
0.0000 0.8772 0.6607
0.0000 0.1228 0.1607
0.5000 0.3772 0.6607
0.5000 0.6228 0.1607
0.0000 0.5322 0.9314
0.0000 0.4678 0.4314
0.5000 0.0322 0.9314
0.5000 0.9678 0.4314
0.0000 0.8425 0.1284
0.0000 0.1575 0.6284
0.5000 0.3425 0.1284
0.5000 0.6575 0.6284
```

## Properties
- Space group: Cmc2_1, No. 36
- Volume: 32.96 A^3/atom
- Total energy: -3.946 eV/atom
- Uncorrected formation energy: -637.5 meV/atom
- Total moment: 0.00 μB per formula unit